[1]
ThGaAu | PBE-GGA | optimized geometry Values from VASP.

- VASP energy (eV for the cell shown) = -31.7
- SG = No. 44

Quantum ESPRESSO input file:
```
&SYSTEM
  ibrav = 0, nat = 6, ntyp = 3
/
ATOMIC_SPECIES
Th 232.04 Th.upf
Ga 69.72 Ga.upf
Au 196.97 Au.upf
CELL_PARAMETERS angstrom
-2.304 3.688 3.977
2.304 -3.688 3.977
2.304 3.688 -3.977
ATOMIC_POSITIONS crystal
Th 0.000 0.000 0.000
Th 0.553 0.053 0.500
Ga 0.398 0.690 0.708
Ga 0.982 0.690 0.292
Au 0.139 0.359 0.780
Au 0.580 0.359 0.220
```

[2]
Zr2AlGaCu2Ni2 | PBE-GGA | optimized geometry Values from VASP.

- VASP energy (eV for the cell shown) = -46.2
- SG = No. 115

Quantum ESPRESSO input file:
```
&SYSTEM
  ibrav = 0, nat = 8, ntyp = 5
/
ATOMIC_SPECIES
Zr 91.22 Zr.upf
Al 26.98 Al.upf
Ga 69.72 Ga.upf
Cu 63.55 Cu.upf
Ni 58.69 Ni.upf
CELL_PARAMETERS angstrom
4.365 0.000 0.000
0.000 4.365 0.000
0.000 0.000 6.177
ATOMIC_POSITIONS crystal
Zr 0.000 0.000 0.000
Zr 0.500 0.500 0.500
Al 0.000 0.000 0.500
Ga 0.500 0.500 0.000
Cu 0.000 0.500 0.251
Cu 0.500 0.000 0.749
Ni 0.000 0.500 0.749
Ni 0.500 0.000 0.251
```

[3]
NaLaAg | PBE-GGA | optimized geometry Values from VASP.

- VASP energy (eV for the cell shown) = -7.7
- SG = No. 216

Quantum ESPRESSO input file:
```
&SYSTEM
  ibrav = 0, nat = 3, ntyp = 3
/
ATOMIC_SPECIES
Na 22.99 Na.upf
La 138.91 La.upf
Ag 107.87 Ag.upf
CELL_PARAMETERS angstrom
0.000 3.650 3.650
3.650 0.000 3.650
3.650 3.650 0.000
ATOMIC_POSITIONS crystal
Na 0.000 0.000 0.000
La 0.750 0.750 0.750
Ag 0.500 0.500 0.500
```

[4]
LaNdGe2 | PBE-GGA | optimized geometry Values from VASP.

- VASP energy (eV for the cell shown) = -42.8
- SG = No. 63

Quantum ESPRESSO input file:
```
&SYSTEM
  ibrav = 0, nat = 8, ntyp = 3
/
ATOMIC_SPECIES
La 138.91 La.upf
Nd 144.24 Nd.upf
Ge 72.64 Ge.upf
CELL_PARAMETERS angstrom
3.041 -7.988 0.000
3.041 7.988 0.000
0.000 0.000 4.672
ATOMIC_POSITIONS crystal
La 0.173 0.827 0.750
La 0.827 0.173 0.250
Nd 0.418 0.582 0.750
Nd 0.582 0.418 0.250
Ge 0.034 0.966 0.250
Ge 0.305 0.695 0.250
Ge 0.695 0.305 0.750
Ge 0.966 0.034 0.750
```

[5]
NaBeCoMo | PBE-GGA | optimized geometry Values from VASP.

- VASP energy (eV for the cell shown) = -20.2
- SG = No. 216

Quantum ESPRESSO input file:
```
&SYSTEM
  ibrav = 0, nat = 4, ntyp = 4
/
ATOMIC_SPECIES
Na 22.99 Na.upf
Be 9.01 Be.upf
Co 58.93 Co.upf
Mo 95.94 Mo.upf
CELL_PARAMETERS angstrom
0.000 2.973 2.973
2.973 0.000 2.973
2.973 2.973 0.000
ATOMIC_POSITIONS crystal
Na 0.000 0.000 0.000
Be 0.750 0.750 0.750
Co 0.250 0.250 0.250
Mo 0.500 0.500 0.500
```

[6]
TbZnNO | PBE-GGA | optimized geometry Values from VASP.

- VASP energy (eV for the cell shown) = -50.2
- SG = No. 129

Quantum ESPRESSO input file:
```
&SYSTEM
  ibrav = 0, nat = 8, ntyp = 4
/
ATOMIC_SPECIES
Tb 158.93 Tb.upf
Zn 65.41 Zn.upf
N 14.01 N.upf
O 16.00 O.upf
CELL_PARAMETERS angstrom
4.811 0.000 0.000
0.000 4.811 0.000
0.000 0.000 4.428
ATOMIC_POSITIONS crystal
Tb 0.250 0.750 0.000
Tb 0.750 0.250 0.000
Zn 0.250 0.250 0.500
Zn 0.750 0.750 0.500
N 0.250 0.250 0.001
N 0.750 0.750 0.999
O 0.250 0.750 0.500
O 0.750 0.250 0.500
```

[7]
Hf2AlZnCo2Ir2 | PBE-GGA | optimized geometry Values from VASP.

- VASP energy (eV for the cell shown) = -62.2
- SG = No. 115

Quantum ESPRESSO input file:
```
&SYSTEM
  ibrav = 0, nat = 8, ntyp = 5
/
ATOMIC_SPECIES
Hf 178.49 Hf.upf
Al 26.98 Al.upf
Zn 65.41 Zn.upf
Co 58.93 Co.upf
Ir 192.22 Ir.upf
CELL_PARAMETERS angstrom
4.381 0.000 0.000
0.000 4.381 0.000
0.000 0.000 6.180
ATOMIC_POSITIONS crystal
Hf 0.000 0.000 0.000
Hf 0.500 0.500 0.500
Al 0.000 0.000 0.500
Zn 0.500 0.500 0.000
Co 0.000 0.500 0.252
Co 0.500 0.000 0.748
Ir 0.000 0.500 0.744
Ir 0.500 0.000 0.256
```

[8]
InCuGe2 | PBE-GGA | optimized geometry Values from VASP.

- VASP energy (eV for the cell shown) = -14.5
- SG = No. 216

Quantum ESPRESSO input file:
```
&SYSTEM
  ibrav = 0, nat = 4, ntyp = 3
/
ATOMIC_SPECIES
In 114.82 In.upf
Cu 63.55 Cu.upf
Ge 72.64 Ge.upf
CELL_PARAMETERS angstrom
0.000 3.363 3.363
3.363 0.000 3.363
3.363 3.363 0.000
ATOMIC_POSITIONS crystal
In 0.000 0.000 0.000
Cu 0.250 0.250 0.250
Ge 0.500 0.500 0.500
Ge 0.750 0.750 0.750
```

[9]
BaDyAg | PBE-GGA | optimized geometry Values from VASP.

- VASP energy (eV for the cell shown) = -8.8
- SG = No. 216

Quantum ESPRESSO input file:
```
&SYSTEM
  ibrav = 0, nat = 3, ntyp = 3
/
ATOMIC_SPECIES
Ba 137.33 Ba.upf
Dy 162.50 Dy.upf
Ag 107.87 Ag.upf
CELL_PARAMETERS angstrom
0.000 3.807 3.807
3.807 0.000 3.807
3.807 3.807 0.000
ATOMIC_POSITIONS crystal
Ba 0.000 0.000 0.000
Dy 0.500 0.500 0.500
Ag 0.250 0.250 0.250
```

[10]
NiH3 | PBE-GGA | optimized geometry Values from VASP.

- VASP energy (eV for the cell shown) = -29.1
- SG = No. 194

Quantum ESPRESSO input file:
```
&SYSTEM
  ibrav = 0, nat = 8, ntyp = 2
/
ATOMIC_SPECIES
Ni 58.69 Ni.upf
H 1.01 H.upf
CELL_PARAMETERS angstrom
4.919 0.000 0.000
-2.459 4.260 0.000
0.000 0.000 2.365
ATOMIC_POSITIONS crystal
Ni 0.333 0.667 0.250
Ni 0.667 0.333 0.750
H 0.201 0.402 0.750
H 0.201 0.799 0.750
H 0.402 0.201 0.250
H 0.598 0.799 0.750
H 0.799 0.201 0.250
H 0.799 0.598 0.250
```

[11]
Lu2NbPb | PBE-GGA | optimized geometry Values from VASP.

- VASP energy (eV for the cell shown) = -22.1
- SG = No. 216

Quantum ESPRESSO input file:
```
&SYSTEM
  ibrav = 0, nat = 4, ntyp = 3
/
ATOMIC_SPECIES
Lu 174.97 Lu.upf
Nb 92.91 Nb.upf
Pb 207.20 Pb.upf
CELL_PARAMETERS angstrom
0.000 3.608 3.608
3.608 0.000 3.608
3.608 3.608 0.000
ATOMIC_POSITIONS crystal
Lu 0.000 0.000 0.000
Lu 0.250 0.250 0.250
Nb 0.750 0.750 0.750
Pb 0.500 0.500 0.500
```

[12]
Sr2Si2IrOs | PBE-GGA | optimized geometry Values from VASP.

- VASP energy (eV for the cell shown) = -37.8
- SG = No. 115

Quantum ESPRESSO input file:
```
&SYSTEM
  ibrav = 0, nat = 6, ntyp = 4
/
ATOMIC_SPECIES
Sr 87.62 Sr.upf
Si 28.09 Si.upf
Ir 192.22 Ir.upf
Os 190.23 Os.upf
CELL_PARAMETERS angstrom
4.229 0.000 0.000
0.000 4.229 0.000
0.000 0.000 7.750
ATOMIC_POSITIONS crystal
Sr 0.000 0.500 0.182
Sr 0.500 0.000 0.818
Si 0.000 0.500 0.653
Si 0.500 0.000 0.347
Ir 0.500 0.500 0.500
Os 0.000 0.000 0.500
```

[13]
Hf2Pb | PBE-GGA | optimized geometry Values from VASP.

- VASP energy (eV for the cell shown) = -45.4
- SG = No. 227

Quantum ESPRESSO input file:
```
&SYSTEM
  ibrav = 0, nat = 6, ntyp = 2
/
ATOMIC_SPECIES
Hf 178.49 Hf.upf
Pb 207.20 Pb.upf
CELL_PARAMETERS angstrom
0.000 4.161 4.161
4.161 0.000 4.161
4.161 4.161 0.000
ATOMIC_POSITIONS crystal
Hf 0.000 0.000 0.000
Hf 0.000 0.000 0.500
Hf 0.000 0.500 0.000
Hf 0.500 0.000 0.000
Pb 0.375 0.375 0.375
Pb 0.625 0.625 0.625
```

[14]
ErZnTe | PBE-GGA | optimized geometry Values from VASP.

- VASP energy (eV for the cell shown) = -10.1
- SG = No. 216

Quantum ESPRESSO input file:
```
&SYSTEM
  ibrav = 0, nat = 3, ntyp = 3
/
ATOMIC_SPECIES
Er 167.26 Er.upf
Zn 65.41 Zn.upf
Te 127.60 Te.upf
CELL_PARAMETERS angstrom
0.000 3.519 3.519
3.519 0.000 3.519
3.519 3.519 0.000
ATOMIC_POSITIONS crystal
Er 0.000 0.000 0.000
Zn 0.250 0.250 0.250
Te 0.750 0.750 0.750
```

[15]
Gd2ErNiSn3Ir2 | PBE-GGA | optimized geometry Values from VASP.

- VASP energy (eV for the cell shown) = -56.3
- SG = No. 38

Quantum ESPRESSO input file:
```
&SYSTEM
  ibrav = 0, nat = 9, ntyp = 5
/
ATOMIC_SPECIES
Gd 157.25 Gd.upf
Er 167.26 Er.upf
Ni 58.69 Ni.upf
Sn 118.71 Sn.upf
Ir 192.22 Ir.upf
CELL_PARAMETERS angstrom
3.836 0.000 0.000
0.000 6.505 3.772
0.000 -6.505 3.772
ATOMIC_POSITIONS crystal
Gd 0.000 0.203 0.797
Gd 0.000 0.797 0.203
Er 0.000 0.390 0.390
Ni 0.000 0.795 0.795
Sn 0.500 0.053 0.053
Sn 0.500 0.541 0.795
Sn 0.500 0.795 0.541
Ir 0.500 0.132 0.462
Ir 0.500 0.462 0.132
```

[16]
K5AgSeO2 | PBE-GGA | optimized geometry Values from VASP.

- VASP energy (eV for the cell shown) = -31.0
- SG = No. 123

Quantum ESPRESSO input file:
```
&SYSTEM
  ibrav = 0, nat = 9, ntyp = 4
/
ATOMIC_SPECIES
K 39.10 K.upf
Ag 107.87 Ag.upf
Se 78.96 Se.upf
O 16.00 O.upf
CELL_PARAMETERS angstrom
5.270 0.000 0.000
0.000 5.270 0.000
0.000 0.000 9.208
ATOMIC_POSITIONS crystal
K 0.000 0.000 0.000
K 0.000 0.500 0.246
K 0.000 0.500 0.754
K 0.500 0.000 0.246
K 0.500 0.000 0.754
Ag 0.000 0.000 0.500
Se 0.500 0.500 0.000
O 0.000 0.000 0.280
O 0.000 0.000 0.720
```

[17]
Gd3In3Ni2Pt | PBE-GGA | optimized geometry Values from VASP.

- VASP energy (eV for the cell shown) = -45.1
- SG = No. 189

Quantum ESPRESSO input file:
```
&SYSTEM
  ibrav = 0, nat = 9, ntyp = 4
/
ATOMIC_SPECIES
Gd 157.25 Gd.upf
In 114.82 In.upf
Ni 58.69 Ni.upf
Pt 195.08 Pt.upf
CELL_PARAMETERS angstrom
7.490 0.000 0.000
-3.745 6.487 0.000
0.000 0.000 3.963
ATOMIC_POSITIONS crystal
Gd 0.000 0.593 0.000
Gd 0.407 0.407 0.000
Gd 0.593 0.000 0.000
In 0.000 0.265 0.500
In 0.265 0.000 0.500
In 0.735 0.735 0.500
Ni 0.333 0.667 0.500
Ni 0.667 0.333 0.500
Pt 0.000 0.000 0.000
```

[18]
Bi2Pd3Pb2 | PBE-GGA | optimized geometry Values from VASP.

- VASP energy (eV for the cell shown) = -64.7
- SG = No. 199

Quantum ESPRESSO input file:
```
&SYSTEM
  ibrav = 0, nat = 14, ntyp = 3
/
ATOMIC_SPECIES
Bi 208.98 Bi.upf
Pd 106.42 Pd.upf
Pb 207.20 Pb.upf
CELL_PARAMETERS angstrom
-4.374 4.374 4.374
4.374 -4.374 4.374
4.374 4.374 -4.374
ATOMIC_POSITIONS crystal
Bi 0.000 0.885 0.500
Bi 0.500 0.000 0.885
Bi 0.615 0.615 0.615
Bi 0.885 0.500 0.000
Pd 0.240 0.750 0.990
Pd 0.250 0.510 0.260
Pd 0.260 0.250 0.510
Pd 0.510 0.260 0.250
Pd 0.750 0.990 0.240
Pd 0.990 0.240 0.750
Pb 0.000 0.455 0.500
Pb 0.045 0.045 0.045
Pb 0.455 0.500 0.000
Pb 0.500 0.000 0.455
```

[19]
Hf4TlGaB2 | PBE-GGA | optimized geometry Values from VASP.

- VASP energy (eV for the cell shown) = -61.9
- SG = No. 187

Quantum ESPRESSO input file:
```
&SYSTEM
  ibrav = 0, nat = 8, ntyp = 4
/
ATOMIC_SPECIES
Hf 178.49 Hf.upf
Tl 204.38 Tl.upf
Ga 69.72 Ga.upf
B 10.81 B.upf
CELL_PARAMETERS angstrom
3.405 0.000 0.000
-1.703 2.949 0.000
0.000 0.000 14.766
ATOMIC_POSITIONS crystal
Hf 0.000 0.000 0.153
Hf 0.000 0.000 0.847
Hf 0.333 0.667 0.327
Hf 0.333 0.667 0.673
Tl 0.000 0.000 0.500
Ga 0.333 0.667 0.000
B 0.667 0.333 0.242
B 0.667 0.333 0.758
```

[20]
Ag3SbSe3 | PBE-GGA | optimized geometry Values from VASP.

- VASP energy (eV for the cell shown) = -288.9
- SG = No. 62

Quantum ESPRESSO input file:
```
&SYSTEM
  ibrav = 0, nat = 84, ntyp = 3
/
ATOMIC_SPECIES
Ag 107.87 Ag.upf
Sb 121.76 Sb.upf
Se 78.96 Se.upf
CELL_PARAMETERS angstrom
8.245 0.000 0.000
0.000 11.583 0.000
0.000 0.000 21.353
ATOMIC_POSITIONS crystal
Ag 0.131 0.041 0.062
Ag 0.131 0.459 0.062
Ag 0.141 0.517 0.680
Ag 0.141 0.983 0.680
Ag 0.179 0.611 0.286
Ag 0.179 0.889 0.286
Ag 0.211 0.072 0.449
Ag 0.211 0.428 0.449
Ag 0.225 0.250 0.138
Ag 0.275 0.750 0.638
Ag 0.289 0.572 0.949
Ag 0.289 0.928 0.949
Ag 0.321 0.111 0.786
Ag 0.321 0.389 0.786
Ag 0.359 0.017 0.180
Ag 0.359 0.483 0.180
Ag 0.369 0.541 0.562
Ag 0.369 0.959 0.562
Ag 0.631 0.041 0.438
Ag 0.631 0.459 0.438
Ag 0.641 0.517 0.820
Ag 0.641 0.983 0.820
Ag 0.679 0.611 0.214
Ag 0.679 0.889 0.214
Ag 0.711 0.072 0.051
Ag 0.711 0.428 0.051
Ag 0.725 0.250 0.362
Ag 0.775 0.750 0.862
Ag 0.789 0.572 0.551
Ag 0.789 0.928 0.551
Ag 0.821 0.111 0.714
Ag 0.821 0.389 0.714
Ag 0.859 0.017 0.320
Ag 0.859 0.483 0.320
Ag 0.869 0.541 0.938
Ag 0.869 0.959 0.938
Sb 0.235 0.250 0.954
Sb 0.237 0.750 0.115
Sb 0.239 0.250 0.308
Sb 0.261 0.750 0.808
Sb 0.263 0.250 0.615
Sb 0.265 0.750 0.454
Sb 0.735 0.250 0.546
Sb 0.737 0.750 0.385
Sb 0.739 0.250 0.192
Sb 0.761 0.750 0.692
Sb 0.763 0.250 0.885
Sb 0.765 0.750 0.046
Se 0.002 0.250 0.041
Se 0.036 0.250 0.402
Se 0.095 0.095 0.236
Se 0.095 0.405 0.236
Se 0.096 0.077 0.567
Se 0.096 0.250 0.721
Se 0.096 0.423 0.567
Se 0.124 0.079 0.885
Se 0.124 0.421 0.885
Se 0.376 0.579 0.385
Se 0.376 0.921 0.385
Se 0.404 0.577 0.067
Se 0.404 0.750 0.221
Se 0.404 0.923 0.067
Se 0.405 0.595 0.736
Se 0.405 0.905 0.736
Se 0.464 0.750 0.902
Se 0.498 0.750 0.541
Se 0.502 0.250 0.459
Se 0.536 0.250 0.098
Se 0.595 0.095 0.264
Se 0.595 0.405 0.264
Se 0.596 0.077 0.933
Se 0.596 0.250 0.779
Se 0.596 0.423 0.933
Se 0.624 0.079 0.615
Se 0.624 0.421 0.615
Se 0.876 0.579 0.115
Se 0.876 0.921 0.115
Se 0.904 0.577 0.433
Se 0.904 0.750 0.279
Se 0.904 0.923 0.433
Se 0.905 0.595 0.764
Se 0.905 0.905 0.764
Se 0.964 0.750 0.598
Se 0.998 0.750 0.959
```

[21]
HoCdInO3 | PBE-GGA | optimized geometry Values from VASP.

- VASP energy (eV for the cell shown) = -61.6
- SG = No. 63

Quantum ESPRESSO input file:
```
&SYSTEM
  ibrav = 0, nat = 12, ntyp = 4
/
ATOMIC_SPECIES
Ho 164.93 Ho.upf
Cd 112.41 Cd.upf
In 114.82 In.upf
O 16.00 O.upf
CELL_PARAMETERS angstrom
1.587 -8.923 0.000
1.587 8.923 0.000
0.000 0.000 6.798
ATOMIC_POSITIONS crystal
Ho 0.000 0.000 0.000
Ho 0.000 0.000 0.500
Cd 0.372 0.628 0.750
Cd 0.628 0.372 0.250
In 0.322 0.678 0.250
In 0.678 0.322 0.750
O 0.118 0.882 0.548
O 0.118 0.882 0.952
O 0.254 0.746 0.750
O 0.746 0.254 0.250
O 0.882 0.118 0.048
O 0.882 0.118 0.452
```

[22]
DyFe2 | PBE-GGA | optimized geometry Values from VASP.

- VASP energy (eV for the cell shown) = -17.8
- energy of formation from the pure elements (meV per atom) = 1137
- SG = No. 225

Quantum ESPRESSO input file:
```
&SYSTEM
  ibrav = 0, nat = 3, ntyp = 2
/
ATOMIC_SPECIES
Dy 162.50 Dy.upf
Fe 55.84 Fe.upf
CELL_PARAMETERS angstrom
0.000 3.071 3.071
3.071 0.000 3.071
3.071 3.071 0.000
ATOMIC_POSITIONS crystal
Dy 0.000 0.000 0.000
Fe 0.250 0.250 0.250
Fe 0.750 0.750 0.750
```